# PBE-GGA Pr3Sm6Tl, relaxed
data_Pr3Sm6Tl
_cell_length_a 12.4620
_cell_length_b 3.6511
_cell_length_c 15.0078
_cell_angle_alpha 90.00
_cell_angle_beta 94.04
_cell_angle_gamma 90.00
_symmetry_space_group_name_H-M 'P 1'
_symmetry_Int_Tables_number 1
_symmetry_space_group_name_Hall 'P 1'
loop_
_atom_site_label
_atom_site_type_symbol
_atom_site_fract_x
_atom_site_fract_y
_atom_site_fract_z
Pr1 Pr 0.0531 0.2500 0.3036
Pr2 Pr 0.1027 0.2500 0.0839
Pr3 Pr 0.4274 0.2500 0.8181
Pr4 Pr 0.5726 0.7500 0.1819
Pr5 Pr 0.8973 0.7500 0.9161
Pr6 Pr 0.9469 0.7500 0.6964
Sm1 Sm 0.1143 0.7500 0.5035
Sm2 Sm 0.1900 0.7500 0.8892
Sm3 Sm 0.2070 0.2500 0.6849
Sm4 Sm 0.3080 0.7500 0.2544
Sm5 Sm 0.3784 0.2500 0.0434
Sm6 Sm 0.4372 0.7500 0.6061
Sm7 Sm 0.5628 0.2500 0.3939
Sm8 Sm 0.6216 0.7500 0.9566
Sm9 Sm 0.6920 0.2500 0.7456
Sm10 Sm 0.7930 0.7500 0.3151
Sm11 Sm 0.8100 0.2500 0.1108
Sm12 Sm 0.8857 0.2500 0.4965
Tl1 Tl 0.3124 0.2500 0.4421
Tl2 Tl 0.6876 0.7500 0.5579
# Total moment   0.0 μB per cell
# Calculated formation energy   0.00 eV/atom